The following is a DFT calculation (PBE) of a relaxed structure of MnGa.

Calculated values
* uncorrected energy: -24.00 eV for the cell shown
* magnetic moment: 0.21 μB/f.u.
* formation enthalpy at 0 K: 0.099 eV per atom
* DOS at the Fermi energy: 3.31 states/eV/cell

abc: 2.8083 3.8692 4.9999
angles: 90.00 103.94 90.00
With the nearest neighbours (Å) after each atom.
Space group P2_1/m (No. 11)
Asymmetric unit:
Mn: 0.0884 0.2500 0.1047 x2  2 Mn 2.20
Ga: 0.3387 0.2500 0.6508 x2  7 Mn 2.53-2.72, 4 Ga 2.74-2.81

=====

The following is a DFT calculation (PBE) of a relaxed structure of K3ErNp2Te6.

Calculated values
* uncorrected energy: -130.32 eV for the cell shown
* raw formation energy: -101 kJ per mole of atoms
* magnetic moment: 8.00 μB/f.u.
* DOS at the Fermi energy: 36.64 states/eV/cell

abc: 7.8541 13.6050 8.6299
angles: 90.00 107.67 90.00
With the nearest neighbours (Å) after each atom.
Space group C2/m (No. 12)
Asymmetric unit:
K: 0.0000 0.0000 0.0000 x2  6 Te 3.53-3.58
K: 0.0000 0.3322 0.0000 x4  6 Te 3.53-3.57
Er: 0.0000 0.5000 0.5000 x2  6 Te 3.10
Np: 0.0000 0.1666 0.5000 x4  6 Te 3.15
Te: 0.2338 0.3359 0.7092 x8  1 Er 3.10, 2 Np 3.15
Te: 0.2416 0.0000 0.7093 x4  1 Er 3.10, 2 Np 3.15

=====

The following is a DFT calculation (PBE) of a relaxed structure of Sm8GeSe3S4.

Calculated values
* uncorrected energy: -296.04 eV for the cell shown
* raw formation energy: -177 kJ per mole of atoms
* magnetic moment: 0.00 μB/f.u.
* DOS at the Fermi energy: 17.87 states/eV/cell

abc: 8.2062 8.2062 20.1488
angles: 90.00 90.00 120.00
With the nearest neighbours (Å) after each atom.
Space group R-3m (No. 166, hexagonal axes)
Asymmetric unit:
Sm: 0.0000 0.0000 0.2424 x6  3 S 2.82, 3 Se 2.99
Sm: 0.0088 0.5044 0.7541 x18  3 S 2.83-2.91, 1 Ge 2.90, 2 Se 2.98
Ge: 0.0000 0.0000 0.0000 x3  6 Sm 2.90
Se: 0.0000 0.5000 0.0000 x9  6 Sm 2.98-2.99
S: 0.0000 0.0000 0.5000 x3  6 Sm 2.91
S: 0.0000 0.5000 0.5000 x9  6 Sm 2.82-2.83